No. 1
! LiNi2W | the Alexandria database | PBE | optimized geometry; values from VASP
&SYSTEM
  ibrav = 0, nat = 8, ntyp = 3
/
ATOMIC_SPECIES
W 183.84 W.upf
Ni 58.69 Ni.upf
Li 6.94 Li.upf
ATOMIC_POSITIONS angstrom
W 6.395 3.197 1.264
W 0.000 0.000 0.000
Ni 4.796 4.900 1.897
Ni 1.702 4.796 0.632
Li 3.197 3.197 0.000
Li 3.197 6.395 1.264
Ni 4.693 1.599 0.632
Ni 7.994 7.890 1.897
CELL_PARAMETERS angstrom
6.395 0.000 0.000
0.000 6.395 0.000
3.197 3.197 2.529
! Electronic total energy   -5.98 eV/atom
! Spin magnetization   0.0 Bohr magnetons per cell
! Space group   I-42d (122)

=====

No. 2
! Cs8Ir3O8 | the Alexandria database | PBE | optimized geometry; values from VASP
&SYSTEM
  ibrav = 0, nat = 19, ntyp = 3
/
ATOMIC_SPECIES
O 16.00 O.upf
Cs 132.91 Cs.upf
Ir 192.22 Ir.upf
ATOMIC_POSITIONS angstrom
O 4.155 -6.586 -2.021
Cs 6.920 -8.189 -2.270
Cs 7.378 -3.379 2.078
Cs -0.337 -5.523 -6.317
O 2.131 -6.303 -4.553
Cs 1.200 -4.898 -1.833
O 2.886 -2.316 -2.218
Ir -1.972 -3.643 -3.328
Ir 3.706 -6.918 -3.785
Cs 0.121 -0.713 -1.969
O 8.475 -5.535 -2.656
O 4.910 -2.599 0.314
Cs 2.991 -3.355 -5.210
O -1.435 -3.366 -1.583
Ir 3.334 -1.984 -0.454
Cs 5.841 -4.004 -2.406
O 2.149 -0.987 0.596
Cs 4.049 -5.547 0.971
O 4.892 -7.915 -4.835
CELL_PARAMETERS angstrom
-2.838 -5.157 1.692
-1.107 -2.129 -8.347
10.985 -1.616 2.417
! Spin magnetization   2.1 Bohr magnetons per cell
! Formation energy from raw total energies   -20.06 eV/f.u.
! Space group   C2/m (12)

=====

No. 3
! Sm12GePd6 | the Alexandria database | PBE | optimized geometry; values from VASP
&SYSTEM
  ibrav = 0, nat = 19, ntyp = 3
/
ATOMIC_SPECIES
Pd 106.42 Pd.upf
Sm 150.36 Sm.upf
Ge 72.64 Ge.upf
ATOMIC_POSITIONS angstrom
Pd 1.712 -4.993 0.338
Sm 0.392 -7.205 -4.866
Sm -3.554 -6.444 2.399
Pd -0.911 -7.656 3.086
Pd -2.873 -3.462 2.780
Sm -0.313 -4.687 2.513
Sm 0.283 -7.719 0.499
Pd -2.650 -3.751 -2.623
Ge 0.000 0.000 0.000
Sm -3.953 -4.202 5.329
Sm 3.830 -6.855 -0.169
Sm 1.132 -7.036 4.996
Sm -0.007 -4.963 -1.936
Sm -4.693 -4.372 -4.533
Sm -7.391 -4.552 0.632
Sm -3.844 -3.688 -0.036
Sm -3.248 -6.720 -2.050
Pd -5.273 -6.414 0.125
Pd -0.688 -7.945 -2.318
CELL_PARAMETERS angstrom
-2.407 -3.124 7.493
-6.662 -2.290 -4.698
5.508 -5.993 -2.333
! Electronic total energy   -5.33 eV/atom
! Spin magnetization   0.0 Bohr magnetons per cell
! Space group   R-3 (148)

=====

No. 4
! TaTcRh2 | the Alexandria database | PBE | optimized geometry; values from VASP
&SYSTEM
  ibrav = 0, nat = 4, ntyp = 3
/
ATOMIC_SPECIES
Ta 180.95 Ta.upf
Tc 98.00 Tc.upf
Rh 102.91 Rh.upf
ATOMIC_POSITIONS angstrom
Ta 1.384 1.386 1.963
Tc 1.384 1.386 5.889
Rh 0.000 0.000 7.779
Rh 0.000 0.000 4.000
CELL_PARAMETERS angstrom
2.770 0.002 0.000
-0.002 2.770 0.000
0.000 0.000 7.852
! Excess energy over the best structure of this formula in the dataset   0.131 eV/atom
! Spin magnetization   0.0 Bohr magnetons per cell
! Space group   P4/mmm (123)

=====

No. 5
! Sm4ScS7 | the Alexandria database | PBE | optimized geometry; values from VASP
&SYSTEM
  ibrav = 0, nat = 12, ntyp = 3
/
ATOMIC_SPECIES
Sm 150.36 Sm.upf
S 32.06 S.upf
Sc 44.96 Sc.upf
ATOMIC_POSITIONS angstrom
Sm 1.927 6.196 9.947
Sm 1.927 2.444 8.689
Sm 0.000 3.765 1.269
S 1.927 3.051 3.414
S 0.000 3.381 6.632
S 0.000 6.113 4.271
S 1.927 5.752 0.974
Sm 0.000 1.370 4.650
S 0.000 0.411 8.904
S 1.927 1.997 0.064
S 0.000 4.177 9.924
Sc 1.927 4.826 5.436
CELL_PARAMETERS angstrom
3.854 0.000 0.000
-1.927 6.235 -1.669
0.000 -0.025 11.670
! Spin magnetization   0.0 Bohr magnetons per cell
! Formation energy from raw total energies   -24.40 eV/f.u.
! Space group   Cm (8)

=====

No. 6
! PtW4Br | the Alexandria database | PBE | optimized geometry; values from VASP
&SYSTEM
  ibrav = 0, nat = 6, ntyp = 3
/
ATOMIC_SPECIES
Br 79.90 Br.upf
Pt 195.08 Pt.upf
W 183.84 W.upf
ATOMIC_POSITIONS angstrom
Br -3.423 -9.153 0.628
Pt 0.000 0.000 0.000
W -2.500 -6.495 1.988
W -3.707 -6.206 -0.371
W -1.711 -4.576 0.314
W -1.210 -7.132 -0.256
CELL_PARAMETERS angstrom
1.003 -5.110 -1.140
-1.577 -3.837 3.347
-3.990 -3.258 -1.370
! Spin magnetization   0.0 Bohr magnetons per cell
! Formation energy from raw total energies   6.16 eV/f.u.
! Space group   F-43m (216)

=====

No. 7
! LiPm2Er3Se6 | the Alexandria database | PBE | optimized geometry; values from VASP
&SYSTEM
  ibrav = 0, nat = 12, ntyp = 4
/
ATOMIC_SPECIES
Er 167.26 Er.upf
Se 78.96 Se.upf
Pm 145.00 Pm.upf
Li 6.94 Li.upf
ATOMIC_POSITIONS angstrom
Er 1.174 2.033 3.327
Se 2.406 4.166 1.686
Se 2.264 -0.008 1.702
Pm 3.525 2.042 -0.005
Li 0.000 0.000 0.000
Se 0.085 4.075 4.951
Er 4.693 0.001 3.327
Se -1.139 1.956 1.702
Se 3.487 2.110 4.951
Pm 0.007 4.074 -0.005
Se -0.057 -0.099 4.967
Er -2.344 4.065 3.327
CELL_PARAMETERS angstrom
7.077 -0.009 -0.005
-3.545 6.125 -0.005
-1.183 -2.049 6.664
! Spin magnetization   0.0 Bohr magnetons per cell
! Formation energy from raw total energies   -20.98 eV/f.u.
! Space group   C2/m (12)

=====

No. 8
! LiTlFe2 | the Alexandria database | PBE | optimized geometry; values from VASP
&SYSTEM
  ibrav = 0, nat = 4, ntyp = 3
/
ATOMIC_SPECIES
Li 6.94 Li.upf
Fe 55.84 Fe.upf
Tl 204.38 Tl.upf
ATOMIC_POSITIONS angstrom
Li 1.391 2.070 1.332
Fe 0.000 0.000 2.526
Tl 1.391 2.070 3.996
Fe 0.000 0.000 0.138
CELL_PARAMETERS angstrom
2.782 0.000 0.000
0.000 4.140 0.000
0.000 0.000 5.329
! Electronic total energy   -4.86 eV/atom
! Spin magnetization   5.0 Bohr magnetons per cell
! Space group   Pmmm (47)